! LaHg2W | the Alexandria database | PBE-GGA | optimized geometry; values from VASP
! calculated total energy = -16.70 eV/cell
! calculated formation energy = 0.45 eV/atom
! total moment = 0.00 Bohr magnetons per cell
&SYSTEM
  ibrav = 0, nat = 4, ntyp = 3
/
ATOMIC_SPECIES
La 138.91 La.upf
Hg 200.59 Hg.upf
W 183.84 W.upf
CELL_PARAMETERS angstrom
-1.5402 2.4664 6.6697
1.5402 -2.4664 6.6697
1.5402 2.4664 -6.6697
ATOMIC_POSITIONS crystal
La 0.0000 0.0000 0.0000
Hg 0.3732 0.3732 0.0000
Hg 0.6881 0.1881 0.5000
W 0.1924 0.6924 0.5000